No. 1
Material: Ta2TlAs
Method: DFT, GGA-PBE
State: optimized geometry

- Magnetic moment: 0.000 μB per atom
- Energy of formation from the pure elements: 0.320 eV/atom

a = 5.422 Å, b = 5.422 Å, c = 4.699 Å
α = 100.99°, β = 100.99°, γ = 34.95°
Element x y z (fractional)
Ta 0.000 0.000 0.000
Ta 0.188 0.188 0.596
Tl 0.743 0.743 0.122
As 0.482 0.482 0.511

No. 2
Material: Ta2TlAs
Method: DFT, GGA-PBE
State: optimized geometry

- Magnetic moment: 0.000 μB per atom
- Energy of formation from the pure elements: 0.425 eV/atom

a = 5.355 Å, b = 5.355 Å, c = 3.080 Å
α = 101.35°, β = 101.35°, γ = 111.93°
Element x y z (fractional)
Ta 0.000 0.500 0.000
Ta 0.500 0.000 0.000
Tl 0.000 0.000 0.500
As 0.500 0.500 0.500

No. 3
Material: U3Ta5As12
Method: DFT, GGA-PBE
State: optimized geometry

- Magnetic moment: 0.349 μB per atom
- Energy of formation from the pure elements: -0.042 eV/atom

a = 13.690 Å, b = 13.690 Å, c = 13.690 Å
α = 109.47°, β = 109.47°, γ = 109.47°
Element x y z (fractional)
U 0.125 0.250 0.375
U 0.125 0.375 0.750
U 0.250 0.375 0.125
U 0.250 0.875 0.625
U 0.375 0.125 0.250
U 0.375 0.750 0.125
U 0.625 0.250 0.875
U 0.625 0.875 0.750
U 0.750 0.125 0.375
U 0.750 0.625 0.875
U 0.875 0.625 0.250
U 0.875 0.750 0.625
Ta 0.000 0.000 0.000
Ta 0.000 0.000 0.500
Ta 0.000 0.500 0.000
Ta 0.000 0.500 0.500
Ta 0.125 0.750 0.875
Ta 0.125 0.875 0.250
Ta 0.250 0.125 0.875
Ta 0.250 0.625 0.375
Ta 0.375 0.250 0.625
Ta 0.375 0.625 0.750
Ta 0.500 0.000 0.000
Ta 0.500 0.000 0.500
Ta 0.500 0.500 0.000
Ta 0.500 0.500 0.500
Ta 0.625 0.375 0.250
Ta 0.625 0.750 0.375
Ta 0.750 0.375 0.625
Ta 0.750 0.875 0.125
Ta 0.875 0.125 0.750
Ta 0.875 0.250 0.125
As 0.040 0.217 0.121
As 0.040 0.322 0.919
As 0.081 0.621 0.404
As 0.081 0.960 0.678
As 0.096 0.717 0.678
As 0.096 0.879 0.419
As 0.121 0.040 0.217
As 0.121 0.581 0.904
As 0.178 0.217 0.596
As 0.178 0.460 0.581
As 0.217 0.121 0.040
As 0.217 0.596 0.178
As 0.283 0.322 0.904
As 0.283 0.460 0.379
As 0.322 0.904 0.283
As 0.322 0.919 0.040
As 0.379 0.283 0.460
As 0.379 0.596 0.919
As 0.404 0.081 0.621
As 0.404 0.822 0.783
As 0.419 0.096 0.879
As 0.419 0.822 0.540
As 0.460 0.379 0.283
As 0.460 0.581 0.178
As 0.540 0.419 0.822
As 0.540 0.621 0.717
As 0.581 0.178 0.460
As 0.581 0.904 0.121
As 0.596 0.178 0.217
As 0.596 0.919 0.379
As 0.621 0.404 0.081
As 0.621 0.717 0.540
As 0.678 0.081 0.960
As 0.678 0.096 0.717
As 0.717 0.540 0.621
As 0.717 0.678 0.096
As 0.783 0.404 0.822
As 0.783 0.879 0.960
As 0.822 0.540 0.419
As 0.822 0.783 0.404
As 0.879 0.419 0.096
As 0.879 0.960 0.783
As 0.904 0.121 0.581
As 0.904 0.283 0.322
As 0.919 0.040 0.322
As 0.919 0.379 0.596
As 0.960 0.678 0.081
As 0.960 0.783 0.879

No. 4
Material: TaV3As
Method: DFT, GGA-PBE
State: optimized geometry

- Magnetic moment: 0.000 μB per atom
- Energy of formation from the pure elements: 1.476 eV/atom

a = 4.624 Å, b = 4.624 Å, c = 4.624 Å
α = 90.00°, β = 90.00°, γ = 90.00°
Element x y z (fractional)
Ta 0.000 0.000 0.000
V 0.000 0.000 0.500
V 0.000 0.500 0.000
V 0.500 0.000 0.000
As 0.500 0.500 0.500

No. 5
Material: Ta2V2As
Method: DFT, GGA-PBE
State: optimized geometry

- Magnetic moment: 0.000 μB per atom
- Energy of formation from the pure elements: 0.359 eV/atom

a = 8.071 Å, b = 8.071 Å, c = 8.071 Å
α = 156.46°, β = 156.46°, γ = 33.53°
Element x y z (fractional)
Ta 0.097 0.097 0.000
Ta 0.903 0.903 0.000
V 0.250 0.750 0.500
V 0.750 0.250 0.500
As 0.500 0.500 0.000

No. 6
Material: TaVAs2
Method: DFT, GGA-PBE
State: optimized geometry

- Magnetic moment: 0.658 μB per atom
- Energy of formation from the pure elements: 0.300 eV/atom

a = 7.013 Å, b = 7.013 Å, c = 7.013 Å
α = 131.17°, β = 131.17°, γ = 71.54°
Element x y z (fractional)
Ta 0.000 0.000 0.000
Ta 0.750 0.250 0.500
V 0.250 0.750 0.500
V 0.500 0.500 0.000
As 0.130 0.625 0.005
As 0.375 0.380 0.505
As 0.620 0.125 0.995
As 0.875 0.870 0.495

No. 7
Material: TaV3As
Method: DFT, GGA-PBE
State: optimized geometry

- Magnetic moment: 0.000 μB per atom
- Energy of formation from the pure elements: -0.251 eV/atom

a = 8.438 Å, b = 3.230 Å, c = 10.962 Å
α = 90.00°, β = 90.00°, γ = 90.00°
Element x y z (fractional)
Ta 0.147 0.250 0.009
Ta 0.353 0.750 0.509
Ta 0.647 0.250 0.491
Ta 0.853 0.750 0.991
V 0.062 0.250 0.413
V 0.087 0.750 0.226
V 0.154 0.750 0.803
V 0.346 0.250 0.303
V 0.413 0.250 0.726
V 0.438 0.750 0.913
V 0.562 0.250 0.087
V 0.587 0.750 0.274
V 0.654 0.750 0.697
V 0.846 0.250 0.197
V 0.913 0.250 0.774
V 0.938 0.750 0.587
As 0.151 0.250 0.630
As 0.349 0.750 0.130
As 0.651 0.250 0.870
As 0.849 0.750 0.370

No. 8
Material: TaV3As
Method: DFT, GGA-PBE
State: optimized geometry

- Magnetic moment: 0.002 μB per atom
- Energy of formation from the pure elements: 0.699 eV/atom

a = 4.437 Å, b = 4.437 Å, c = 4.437 Å
α = 90.00°, β = 90.00°, γ = 90.00°
Element x y z (fractional)
Ta 0.000 0.000 0.000
V 0.000 0.500 0.500
V 0.500 0.000 0.500
V 0.500 0.500 0.000
As 0.500 0.500 0.500

No. 9
Material: TaVAs
Method: DFT, GGA-PBE
State: optimized geometry

- Magnetic moment: 0.000 μB per atom
- Energy of formation from the pure elements: -0.183 eV/atom

a = 4.835 Å, b = 4.835 Å, c = 4.835 Å
α = 139.74°, β = 139.74°, γ = 58.24°
Element x y z (fractional)
Ta 0.000 0.000 0.000
V 0.673 0.673 0.000
As 0.329 0.329 0.000

No. 10
Material: Ta2V2As
Method: DFT, GGA-PBE
State: optimized geometry

- Magnetic moment: 0.000 μB per atom
- Energy of formation from the pure elements: 0.353 eV/atom

a = 6.720 Å, b = 6.720 Å, c = 4.081 Å
α = 90.00°, β = 90.00°, γ = 90.00°
Element x y z (fractional)
Ta 0.160 0.340 0.000
Ta 0.340 0.840 0.000
Ta 0.660 0.160 0.000
Ta 0.840 0.660 0.000
V 0.110 0.610 0.500
V 0.390 0.110 0.500
V 0.610 0.890 0.500
V 0.890 0.390 0.500
As 0.000 0.000 0.000
As 0.500 0.500 0.000

No. 11
Material: TaV5As4
Method: DFT, GGA-PBE
State: optimized geometry

- Magnetic moment: 0.000 μB per atom
- Energy of formation from the pure elements: -0.194 eV/atom

a = 8.073 Å, b = 8.193 Å, c = 4.817 Å
α = 90.00°, β = 90.00°, γ = 90.00°
Element x y z (fractional)
Ta 0.250 0.250 0.012
Ta 0.750 0.750 0.988
V 0.027 0.514 0.757
V 0.027 0.986 0.757
V 0.250 0.750 0.576
V 0.473 0.514 0.757
V 0.473 0.986 0.757
V 0.527 0.014 0.243
V 0.527 0.486 0.243
V 0.750 0.250 0.424
V 0.973 0.014 0.243
V 0.973 0.486 0.243
As 0.078 0.250 0.512
As 0.250 0.584 0.086
As 0.250 0.916 0.086
As 0.422 0.250 0.512
As 0.578 0.750 0.488
As 0.750 0.084 0.914
As 0.750 0.416 0.914
As 0.922 0.750 0.488

No. 12
Material: TaV2As
Method: DFT, GGA-PBE
State: optimized geometry

- Magnetic moment: 0.000 μB per atom
- Energy of formation from the pure elements: -0.266 eV/atom

a = 3.280 Å, b = 3.280 Å, c = 5.575 Å
α = 90.00°, β = 90.00°, γ = 90.00°
Element x y z (fractional)
Ta 0.000 0.000 0.000
V 0.500 0.500 0.271
V 0.500 0.500 0.729
As 0.000 0.000 0.500

No. 13
Material: Ta3VAs
Method: DFT, GGA-PBE
State: optimized geometry

- Magnetic moment: 0.000 μB per atom
- Energy of formation from the pure elements: 1.138 eV/atom

a = 4.658 Å, b = 4.658 Å, c = 4.658 Å
α = 90.00°, β = 90.00°, γ = 90.00°
Element x y z (fractional)
Ta 0.000 0.000 0.500
Ta 0.000 0.500 0.000
Ta 0.500 0.000 0.000
V 0.000 0.000 0.000
As 0.500 0.500 0.500

No. 14
Material: TaVAs
Method: DFT, GGA-PBE
State: optimized geometry

- Magnetic moment: 0.000 μB per atom
- Energy of formation from the pure elements: 0.001 eV/atom

a = 4.448 Å, b = 4.448 Å, c = 2.808 Å
α = 90.00°, β = 90.00°, γ = 120.00°
Element x y z (fractional)
Ta 0.000 0.000 0.000
V 0.667 0.333 0.608
As 0.333 0.667 0.648

No. 15
Material: TaV2As
Method: DFT, GGA-PBE
State: optimized geometry

- Magnetic moment: 0.000 μB per atom
- Energy of formation from the pure elements: 0.375 eV/atom

a = 5.707 Å, b = 5.707 Å, c = 5.707 Å
α = 101.33°, β = 101.33°, γ = 127.37°
Element x y z (fractional)
Ta 0.000 0.000 0.000
Ta 0.750 0.250 0.500
V 0.168 0.125 0.543
V 0.375 0.832 0.957
V 0.582 0.625 0.457
V 0.875 0.418 0.043
As 0.250 0.750 0.500
As 0.500 0.500 0.000

No. 16
Material: TaV2As
Method: DFT, GGA-PBE
State: optimized geometry

- Magnetic moment: 0.000 μB per atom
- Energy of formation from the pure elements: -0.199 eV/atom

a = 4.117 Å, b = 4.117 Å, c = 3.491 Å
α = 90.00°, β = 90.00°, γ = 90.00°
Element x y z (fractional)
Ta 0.000 0.000 0.000
V 0.000 0.500 0.500
V 0.500 0.000 0.500
As 0.500 0.500 0.000

No. 17
Material: TaVAs2
Method: DFT, GGA-PBE
State: optimized geometry

- Magnetic moment: 0.000 μB per atom
- Energy of formation from the pure elements: -0.206 eV/atom

a = 4.461 Å, b = 4.461 Å, c = 4.461 Å
α = 60.00°, β = 60.00°, γ = 60.00°
Element x y z (fractional)
Ta 0.000 0.000 0.000
V 0.500 0.500 0.500
As 0.250 0.250 0.250
As 0.750 0.750 0.750

No. 18
Material: TaVAs2
Method: DFT, GGA-PBE
State: optimized geometry

- Magnetic moment: 0.468 μB per atom
- Energy of formation from the pure elements: -0.140 eV/atom

a = 6.188 Å, b = 6.188 Å, c = 6.188 Å
α = 35.21°, β = 35.21°, γ = 35.21°
Element x y z (fractional)
Ta 0.000 0.000 0.000
V 0.500 0.500 0.500
As 0.245 0.245 0.245
As 0.755 0.755 0.755

No. 19
Material: TaVAs
Method: DFT, GGA-PBE
State: optimized geometry

- Magnetic moment: 0.000 μB per atom
- Energy of formation from the pure elements: -0.432 eV/atom

a = 6.843 Å, b = 6.843 Å, c = 3.386 Å
α = 90.00°, β = 90.00°, γ = 120.00°
Element x y z (fractional)
Ta 0.000 0.599 0.000
Ta 0.401 0.401 0.000
Ta 0.599 0.000 0.000
V 0.000 0.257 0.500
V 0.257 0.000 0.500
V 0.743 0.743 0.500
As 0.000 0.000 0.000
As 0.333 0.667 0.500
As 0.667 0.333 0.500

No. 20
Material: Ta3VAs
Method: DFT, GGA-PBE
State: optimized geometry

- Magnetic moment: 0.312 μB per atom
- Energy of formation from the pure elements: 1.028 eV/atom

a = 4.713 Å, b = 4.713 Å, c = 4.713 Å
α = 90.00°, β = 90.00°, γ = 90.00°
Element x y z (fractional)
Ta 0.000 0.000 0.500
Ta 0.000 0.500 0.000
Ta 0.500 0.000 0.000
V 0.500 0.500 0.500
As 0.000 0.000 0.000